Crystalline Li2CuIr2 at its relaxed geometry, computed with PBE.

## Properties
Energy of formation, eV/f.u.: 0.78
Density of states at the Fermi level, states/eV per atom: 1.529
ΔE to the lowest computed polymorph, eV per atom: 0.000

a b c (Å): 5.4968 5.4968 3.9392
angles (deg): 90.00 90.00 90.00
With the nearest neighbours (Å) after each atom.
Element x y z (fractional)
Ir 0.1819 0.6819 0.5000  6 Li 2.47-2.61
Ir 0.6819 0.8181 0.5000  6 Li 2.47-2.61
Ir 0.8181 0.3181 0.5000  6 Li 2.47-2.61
Ir 0.3181 0.1819 0.5000  6 Li 2.47-2.61
Cu 0.0000 0.0000 0.0000  4 Li 2.17
Cu 0.5000 0.5000 0.0000  4 Li 2.17
Li 0.3745 0.8745 0.0000  1 Li 1.95, 2 Cu 2.17
Li 0.8745 0.6255 0.0000  1 Li 1.95, 2 Cu 2.17
Li 0.6255 0.1255 0.0000  1 Li 1.95, 2 Cu 2.17
Li 0.1255 0.3745 0.0000  1 Li 1.95, 2 Cu 2.17

---

Crystalline NdCu2Rh at its relaxed geometry, computed with PBE.

## Properties
Energy of formation, eV/f.u.: -0.74
Density of states at the Fermi level, states/eV per atom: 0.302
ΔE to the lowest computed polymorph, eV per atom: 0.052

a b c (Å): 4.2082 4.0526 4.0526
angles (deg): 90.00 90.00 90.00
With the nearest neighbours (Å) after each atom.
Element x y z (fractional)
Rh 0.5000 0.5000 0.5000  4 Nd 2.87, 8 Cu 2.92
Nd 0.5000 0.0000 0.0000  4 Rh 2.87, 8 Cu 2.92
Cu 0.0000 0.0000 0.5000  4 Cu 2.87, 4 Rh 2.92, 4 Nd 2.92
Cu 0.0000 0.5000 0.0000  4 Cu 2.87, 4 Rh 2.92, 4 Nd 2.92

---

Crystalline Cs6RbTl3 at its relaxed geometry, computed with PBE.

## Properties
Energy of formation, eV/f.u.: -0.06
Density of states at the Fermi level, states/eV per atom: 1.125

a b c (Å): 8.7767 8.7767 8.7767
angles (deg): 92.00 92.00 92.00
With the nearest neighbours (Å) after each atom.
Element x y z (fractional)
Cs 0.5625 0.9372 0.3037  3 Tl 4.03-4.26, 2 Cs 4.50-4.52
Cs 0.9372 0.3037 0.5625  3 Tl 4.03-4.26, 2 Cs 4.50-4.52
Cs 0.3037 0.5625 0.9372  3 Tl 4.03-4.26, 2 Cs 4.50-4.52
Cs 0.3813 0.0837 0.7577  2 Tl 4.14-4.30, 2 Cs 4.50-4.52
Cs 0.0837 0.7577 0.3813  2 Tl 4.14-4.30, 2 Cs 4.50-4.52
Cs 0.7577 0.3813 0.0837  2 Tl 4.14-4.30, 2 Cs 4.50-4.52
Rb 0.8608 0.8608 0.8608  2 Tl 4.12-4.41
Tl 0.3723 0.3723 0.3723  2 Tl 3.04-3.09
Tl 0.5796 0.5796 0.5796  1 Tl 3.04
Tl 0.1613 0.1613 0.1613  1 Tl 3.09

---

Crystalline Au2SeCl at its relaxed geometry, computed with PBE.

## Properties
Density of states at the Fermi level, states/eV per atom: 1.565
ΔE to the lowest computed polymorph, eV per atom: 0.483
Uncorrected formation energy, eV/atom: 0.460

a b c (Å): 4.8280 4.8280 4.8280
angles (deg): 60.00 60.00 60.00
With the nearest neighbours (Å) after each atom.
Element x y z (fractional)
Au 0.2500 0.2500 0.2500  4 Cl 2.96, 4 Se 2.96
Au 0.7500 0.7500 0.7500  4 Cl 2.96, 4 Se 2.96
Se 0.5000 0.5000 0.5000  8 Au 2.96
Cl 0.0000 0.0000 0.0000  8 Au 2.96

---

Crystalline Ho2Ga4Hg at its relaxed geometry, computed with PBE.

## Properties
Energy of formation, eV/f.u.: -1.90
Density of states at the Fermi level, states/eV per atom: 0.761

a b c (Å): 5.6558 5.6558 7.3240
angles (deg): 124.67 124.67 61.75
With the nearest neighbours (Å) after each atom.
Element x y z (fractional)
Ho 0.6511 0.6511 0.3022  8 Ga 3.03-3.28, 1 Ho 3.31, 2 Hg 3.34
Ho 0.3489 0.3489 0.6978  8 Ga 3.03-3.28, 1 Ho 3.31, 2 Hg 3.34
Ga 0.7500 0.2500 0.5000  4 Ga 2.74-2.90, 4 Ho 3.03
Ga 0.2500 0.7500 0.5000  4 Ga 2.74-2.90, 4 Ho 3.03
Ga 0.5000 0.0000 0.0000  4 Ga 2.74-2.90, 2 Hg 2.83
Ga 0.0000 0.5000 0.0000  4 Ga 2.74-2.90, 2 Hg 2.83
Hg 0.0000 0.0000 0.0000  4 Ga 2.83

---

Crystalline Ho2MgNpN4 at its relaxed geometry, computed with PBE.

## Properties
Density of states at the Fermi level, states/eV per atom: 0.419
Uncorrected formation energy, eV/atom: -1.334

a b c (Å): 3.4300 5.7549 5.8291
angles (deg): 107.73 90.00 90.00
With the nearest neighbours (Å) after each atom.
Element x y z (fractional)
Ho 0.5000 0.0000 0.5000  6 N 2.43-2.47
Ho 0.0000 0.5000 0.5000  6 N 2.37-2.42
Mg 0.0000 0.0000 0.0000  6 N 2.31-2.43
Np 0.5000 0.5000 0.0000  6 N 2.21-2.41
N 0.5000 0.2657 0.2379  1 Np 2.21, 3 Ho 2.42-2.47, 2 Mg 2.43
N 0.5000 0.7343 0.7621  1 Np 2.21, 3 Ho 2.42-2.47, 2 Mg 2.43
N 0.0000 0.2500 0.7557  1 Mg 2.31, 3 Ho 2.37-2.43, 2 Np 2.41
N 0.0000 0.7500 0.2443  1 Mg 2.31, 3 Ho 2.37-2.43, 2 Np 2.41

---

Crystalline DyGa3CuPt at its relaxed geometry, computed with PBE.

## Properties
Energy of formation, eV/f.u.: -2.43
Density of states at the Fermi level, states/eV per atom: 0.232

a b c (Å): 5.9758 5.9622 6.8004
angles (deg): 116.00 90.00 90.00
With the nearest neighbours (Å) after each atom.
Element x y z (fractional)
Dy 0.7500 0.2866 0.5731  1 Cu 2.69
Dy 0.2500 0.7134 0.4269  1 Cu 2.69
Ga 0.2500 0.1430 0.2859  1 Pt 2.50, 1 Cu 2.56
Ga 0.0000 0.2895 0.0000  2 Cu 2.42, 1 Ga 2.51, 2 Pt 2.70
Ga 0.5000 0.7105 0.0000  2 Cu 2.42, 1 Ga 2.51, 2 Pt 2.70
Ga 0.5000 0.2895 0.0000  2 Cu 2.42, 1 Ga 2.51, 2 Pt 2.70
Ga 0.0000 0.7105 0.0000  2 Cu 2.42, 1 Ga 2.51, 2 Pt 2.70
Ga 0.7500 0.8570 0.7141  1 Pt 2.50, 1 Cu 2.56
Cu 0.2500 0.9333 0.8666  5 Ga 2.42-2.56, 1 Dy 2.69
Cu 0.7500 0.0667 0.1334  5 Ga 2.42-2.56, 1 Dy 2.69
Pt 0.2500 0.3478 0.6956  5 Ga 2.50-2.70
Pt 0.7500 0.6522 0.3044  5 Ga 2.50-2.70

---

Crystalline BaSr at its relaxed geometry, computed with PBE.

## Properties
Energy of formation, eV/f.u.: 0.29
Density of states at the Fermi level, states/eV per atom: 1.511
ΔE to the lowest computed polymorph, eV per atom: 0.143

a b c (Å): 6.9160 6.9160 12.4223
angles (deg): 90.00 90.00 120.00
With the nearest neighbours (Å) after each atom.
Element x y z (fractional)
Ba 0.3333 0.6667 0.0809  7 Sr 4.11-4.51, 4 Ba 4.20-4.47
Ba 0.6667 0.3333 0.5809  7 Sr 4.11-4.51, 4 Ba 4.20-4.47
Ba 0.6667 0.3333 0.9191  7 Sr 4.11-4.51, 4 Ba 4.20-4.47
Ba 0.3333 0.6667 0.4191  7 Sr 4.11-4.51, 4 Ba 4.20-4.47
Sr 0.0000 0.0000 0.2500  3 Sr 3.99
Sr 0.0000 0.0000 0.7500  3 Sr 3.99
Sr 0.3333 0.6667 0.7500  3 Sr 3.99, 2 Ba 4.11
Sr 0.6667 0.3333 0.2500  3 Sr 3.99, 2 Ba 4.11

---

Crystalline NdCdGa at its relaxed geometry, computed with PBE.

## Properties
Energy of formation, eV/f.u.: -1.57
Density of states at the Fermi level, states/eV per atom: 0.186

a b c (Å): 7.4334 7.4334 4.5138
angles (deg): 90.00 90.00 120.00
With the nearest neighbours (Å) after each atom.
Element x y z (fractional)
Nd 0.4207 0.4207 0.5000  5 Ga 3.13-3.17, 2 Cd 3.34
Nd 0.5793 0.0000 0.5000  5 Ga 3.13-3.17, 2 Cd 3.34
Nd 0.0000 0.5793 0.5000  5 Ga 3.13-3.17, 2 Cd 3.34
Cd 0.7525 0.7525 0.0000  4 Ga 2.85-2.91, 2 Cd 3.19
Cd 0.2475 0.0000 0.0000  4 Ga 2.85-2.91, 2 Cd 3.19
Cd 0.0000 0.2475 0.0000  4 Ga 2.85-2.91, 2 Cd 3.19
Ga 0.6667 0.3333 0.0000  3 Cd 2.85, 6 Nd 3.17
Ga 0.3333 0.6667 0.0000  3 Cd 2.85, 6 Nd 3.17
Ga 0.0000 0.0000 0.5000  6 Cd 2.91, 3 Nd 3.13

---

Crystalline RuS2ICl at its relaxed geometry, computed with PBE.

## Properties
Density of states at the Fermi level, states/eV per atom: 1.374
ΔE to the lowest computed polymorph, eV per atom: 1.125
Uncorrected formation energy, eV/atom: 1.402

a b c (Å): 5.1206 5.1206 5.3373
angles (deg): 90.00 90.00 90.00
With the nearest neighbours (Å) after each atom.
Element x y z (fractional)
I 0.0000 0.0000 0.0000  4 S 2.56, 2 Cl 2.67
Ru 0.5000 0.5000 0.5000  4 Cl 3.62, 8 S 3.70
S 0.0000 0.5000 0.0000  2 I 2.56
S 0.5000 0.0000 0.0000  2 I 2.56
Cl 0.0000 0.0000 0.5000  2 I 2.67

---

Crystalline HgIN2O at its relaxed geometry, computed with PBE.

## Properties
Density of states at the Fermi level, states/eV per atom: 0.288
Uncorrected formation energy, eV/atom: 1.533

a b c (Å): 4.1551 4.1551 4.0260
angles (deg): 90.00 90.00 90.00
With the nearest neighbours (Å) after each atom.
Element x y z (fractional)
I 0.0000 0.0000 0.0000  2 O 2.01, 4 N 2.08
Hg 0.5000 0.5000 0.5000  8 N 2.89, 4 O 2.94
O 0.0000 0.0000 0.5000  2 I 2.01
N 0.0000 0.5000 0.0000  2 I 2.08
N 0.5000 0.0000 0.0000  2 I 2.08

---

Crystalline Al2SiTe at its relaxed geometry, computed with PBE.

## Properties
Density of states at the Fermi level, states/eV per atom: 0.365
ΔE to the lowest computed polymorph, eV per atom: 0.254
Uncorrected formation energy, eV/atom: 0.112

a b c (Å): 6.8994 6.8994 3.7793
angles (deg): 89.98 89.98 29.30
With the nearest neighbours (Å) after each atom.
Element x y z (fractional)
Si 0.4623 0.4623 0.6242  6 Al 2.60-2.64
Te 0.2131 0.2131 0.1259  5 Al 2.75-2.93
Al 0.0068 0.0068 0.1240  4 Si 2.64, 1 Te 2.75
Al 0.8178 0.8178 0.6259  2 Si 2.60